Here is LiHfPd2Br after structural relaxation from Alexandria. Energies are from GGA-PBEsol.

Space group = P4/mmm (123)

abc: 4.697 4.697 4.836
angles: 90.00 90.00 90.00
Positions (direct):
Li 0.000 0.000 0.000
Hf 0.500 0.500 0.000
Pd 0.000 0.500 0.500
Pd 0.500 0.000 0.500
Br 0.500 0.500 0.500

---

Here is HfMoBr2 after structural relaxation from Alexandria. Energies are from GGA-PBEsol.

Space group = Fm-3m (225)

abc: 4.600 4.600 4.600
angles: 60.00 60.00 60.00
Positions (direct):
Hf 0.000 0.000 0.000
Mo 0.500 0.500 0.500
Br 0.250 0.250 0.250
Br 0.750 0.750 0.750

---

Here is HfBrN after structural relaxation from Alexandria. Energies are from GGA-PBEsol.

Space group = R-3m (166)

abc: 10.257 10.257 10.257
angles: 20.12 20.12 20.12
Positions (direct):
Hf 0.209 0.209 0.209
Hf 0.791 0.791 0.791
Br 0.392 0.392 0.392
Br 0.608 0.608 0.608
N 0.138 0.138 0.138
N 0.862 0.862 0.862

---

Here is HfBrN after structural relaxation from Alexandria. Energies are from GGA-PBEsol.

Space group = Pmmn (59)

abc: 3.533 4.094 8.917
angles: 90.00 90.00 90.00
Positions (direct):
Hf 0.250 0.250 0.096
Hf 0.750 0.750 0.904
Br 0.250 0.750 0.673
Br 0.750 0.250 0.327
N 0.250 0.750 0.035
N 0.750 0.250 0.965

---

Here is HfNiBrN2 after structural relaxation from Alexandria. Energies are from GGA-PBEsol.

Space group = P4/mmm (123)

abc: 3.990 3.990 4.163
angles: 90.00 90.00 90.00
Positions (direct):
Hf 0.000 0.000 0.000
Ni 0.500 0.500 0.000
Br 0.500 0.500 0.500
N 0.000 0.500 0.500
N 0.500 0.000 0.500

---

Here is HfSBrN2 after structural relaxation from Alexandria. Energies are from GGA-PBEsol.

Space group = P4/mmm (123)

abc: 3.906 3.906 4.528
angles: 90.00 90.00 90.00
Positions (direct):
Hf 0.000 0.000 0.000
S 0.500 0.500 0.000
Br 0.500 0.500 0.500
N 0.000 0.500 0.500
N 0.500 0.000 0.500

---

Here is HfTeBrN2 after structural relaxation from Alexandria. Energies are from GGA-PBEsol.

Space group = P4/mmm (123)

abc: 4.101 4.101 6.056
angles: 90.00 90.00 90.00
Positions (direct):
Hf 0.000 0.000 0.000
Te 0.000 0.000 0.500
Br 0.500 0.500 0.500
N 0.000 0.500 0.000
N 0.500 0.000 0.000

---

Here is Na3HfBr after structural relaxation from Alexandria. Energies are from GGA-PBEsol.

Space group = Pm-3m (221)

abc: 6.231 6.231 6.231
angles: 90.00 90.00 90.00
Positions (direct):
Na 0.000 0.000 0.500
Na 0.000 0.500 0.000
Na 0.500 0.000 0.000
Hf 0.000 0.000 0.000
Br 0.500 0.500 0.500

---

Here is NaHf2Br after structural relaxation from Alexandria. Energies are from GGA-PBEsol.

Space group = Fm-3m (225)

abc: 4.908 4.908 4.908
angles: 60.00 60.00 60.00
Positions (direct):
Na 0.000 0.000 0.000
Hf 0.250 0.250 0.250
Hf 0.750 0.750 0.750
Br 0.500 0.500 0.500

---

Here is NaHfPdBr2 after structural relaxation from Alexandria. Energies are from GGA-PBEsol.

Space group = P4/mmm (123)

abc: 4.814 4.814 5.029
angles: 90.00 90.00 90.00
Positions (direct):
Na 0.000 0.000 0.000
Hf 0.500 0.500 0.500
Pd 0.000 0.000 0.500
Br 0.000 0.500 0.000
Br 0.500 0.000 0.000

---

Here is NaHfSeBr2 after structural relaxation from Alexandria. Energies are from GGA-PBEsol.

Space group = P4/mmm (123)

abc: 5.239 5.239 5.143
angles: 90.00 90.00 90.00
Positions (direct):
Na 0.000 0.000 0.000
Hf 0.500 0.500 0.500
Se 0.500 0.500 0.000
Br 0.000 0.500 0.500
Br 0.500 0.000 0.500

---

Here is HfBrO3 after structural relaxation from Alexandria. Energies are from GGA-PBEsol.

Space group = Pm-3m (221)

abc: 4.046 4.046 4.046
angles: 90.00 90.00 90.00
Positions (direct):
Hf 0.000 0.000 0.000
Br 0.500 0.500 0.500
O 0.000 0.500 0.500
O 0.500 0.000 0.500
O 0.500 0.500 0.000

---

Here is HfPBrO2 after structural relaxation from Alexandria. Energies are from GGA-PBEsol.

Space group = P4/mmm (123)

abc: 3.954 3.954 5.650
angles: 90.00 90.00 90.00
Positions (direct):
Hf 0.000 0.000 0.000
P 0.000 0.000 0.500
Br 0.500 0.500 0.500
O 0.000 0.500 0.000
O 0.500 0.000 0.000

---

Here is HfPbBr2O after structural relaxation from Alexandria. Energies are from GGA-PBEsol.

Space group = P4/mmm (123)

abc: 4.656 4.656 4.812
angles: 90.00 90.00 90.00
Positions (direct):
Hf 0.000 0.000 0.000
Pb 0.500 0.500 0.000
Br 0.000 0.500 0.500
Br 0.500 0.000 0.500
O 0.500 0.500 0.500

---

Computed E_tot, in the same sequence as the records: -4.7724, -6.0275, -8.7675, -8.7452, -5.6284, -5.4561, -6.2803, -2.2806, -5.3755, -3.8062, -4.9186, -5.3801, -7.0507, -4.3782 eV/atom.
Computed formation energy from raw total energies, in the same sequence as the records: 231, 183, -521, -515, 718, 630, 150, 499, 268, 248, -492, 118, -636, 154 kJ/mol of formula units.